i | # LiCd7Ag4

A geometry-optimized LiCd7Ag4 structure (PBE, Alexandria).

Cell lengths 13.2982, 4.9563, 10.1211 Å; angles 90.00, 127.63, 90.00 degrees
Space group C2/m (No. 12)
Unique sites:
Li  0.0000  0.0000  0.0000
Cd  0.0000  0.5000  0.0000
Cd  0.0668  0.0000  0.3357
Cd  0.1525  0.5000  0.5932
Cd  0.2164  0.0000  0.8589
Ag  0.0725  0.5000  0.7918
Ag  0.1964  0.5000  0.3436

## Properties
**Volume**: 22.01 Å³/atom
**Total moment**: 0.000 μB per atom
**DOS(E_F)**: 0.3555 states/eV/atom

ii | # LiCd7Ag4

A geometry-optimized LiCd7Ag4 structure (PBE, Alexandria).

Cell lengths 4.7934, 4.7934, 11.8230 Å; angles 90.00, 90.00, 120.00 degrees
Space group P-3m1 (No. 164)
Unique sites:
Li  0.0000  0.0000  0.0000
Cd  0.0000  0.0000  0.2374
Cd  0.0000  0.0000  0.5000
Cd  0.3333  0.6667  0.6611
Cd  0.3333  0.6667  0.9215
Ag  0.3333  0.6667  0.1653
Ag  0.3333  0.6667  0.4147

## Properties
**Volume**: 19.60 Å³/atom
**Total moment**: 0.000 μB per atom
**DOS(E_F)**: 0.1688 states/eV/atom

Relative calculated energies, zero for the most stable structure, unit kJ/mol of atoms: i 10.4; ii 0.0.

i | # Li2Cd4Ag3

A geometry-optimized Li2Cd4Ag3 structure (PBE, Alexandria).

Cell lengths 12.8967, 4.2344, 6.5756 Å; angles 90.00, 109.64, 90.00 degrees
Space group C2/m (No. 12)
Unique sites:
Li  0.1631  0.0000  0.4976
Cd  0.0501  0.0000  0.8262
Cd  0.2229  0.5000  0.8153
Ag  0.0000  0.5000  0.5000
Ag  0.1167  0.5000  0.1829

## Properties
**Volume**: 18.79 Å³/atom
**Total moment**: 0.000 μB per atom
**DOS(E_F)**: 0.2284 states/eV/atom

ii | # Li2Cd4Ag3

A geometry-optimized Li2Cd4Ag3 structure (PBE, Alexandria).

Cell lengths 4.3860, 4.9517, 8.8366 Å; angles 78.65, 89.11, 64.21 degrees
Space group P-1 (No. 2)
Unique sites:
Li  0.1710  0.1581  0.2280
Cd  0.1633  0.1723  0.8896
Cd  0.4926  0.5142  0.6671
Ag  0.1648  0.1675  0.5571
Ag  0.5000  0.5000  0.0000

## Properties
**Volume**: 18.76 Å³/atom
**Total moment**: 0.000 μB per atom
**DOS(E_F)**: 0.2618 states/eV/atom

Relative calculated energies, zero for the most stable structure, unit kJ/mol of atoms: i 2.0; ii 0.0.

i | # Li2Cd7Ag2

A geometry-optimized Li2Cd7Ag2 structure (PBE, Alexandria).

Cell lengths 13.1421, 8.4968, 4.3543 Å; angles 90.00, 109.31, 90.00 degrees
Space group C2/m (No. 12)
Unique sites:
Li  0.1669  0.0000  0.1673
Cd  0.0000  0.0000  0.5000
Cd  0.1481  0.5000  0.1456
Cd  0.1613  0.2576  0.6607
Ag  0.0000  0.2310  0.0000

## Properties
**Volume**: 20.86 Å³/atom
**Total moment**: 0.000 μB per atom
**DOS(E_F)**: 0.1685 states/eV/atom

ii | # Li2Cd7Ag2

A geometry-optimized Li2Cd7Ag2 structure (PBE, Alexandria).

Cell lengths 10.4427, 8.7690, 5.4255 Å; angles 90.00, 110.01, 90.00 degrees
Space group C2/m (No. 12)
Unique sites:
Li  0.2266  0.0000  0.2722
Cd  0.0000  0.0000  0.5000
Cd  0.0014  0.5000  0.7479
Cd  0.2420  0.1765  0.7529
Ag  0.0000  0.1708  0.0000

## Properties
**Volume**: 21.22 Å³/atom
**Total moment**: 0.000 μB per atom
**DOS(E_F)**: 0.3226 states/eV/atom

Relative calculated energies, zero for the most stable structure, unit kJ/mol of atoms: i 0.0; ii 4.9.